Entry 1:
The following is a PBE calculation of an optimized crystal structure of RbPaPt2O6, from Alexandria.

Geometry as POSCAR:
```
RbPaPt2O6
1.0
3.060 1.767 6.182
-3.060 1.767 6.182
0.000 -3.533 6.182
Rb Pa Pt O
1 1 2 6
direct
0.000 0.000 0.000 Rb
0.500 0.500 0.500 Pa
0.234 0.234 0.234 Pt
0.766 0.766 0.766 Pt
0.111 0.680 0.504 O
0.320 0.496 0.889 O
0.496 0.889 0.320 O
0.504 0.111 0.680 O
0.680 0.504 0.111 O
0.889 0.320 0.496 O
```

## Properties
Formation energy (no corrections) in eV per atom: -1.3768
Volume in Å³ per cell: 200
Density of states at the Fermi level in states/eV per cell: 5.1
Calculated total energy in eV per atom: -6.61

***

Entry 2:
The following is a PBE calculation of an optimized crystal structure of NaGaTe2, from Alexandria.

Geometry as POSCAR:
```
NaGaTe2
1.0
4.314 0.000 0.000
0.026 6.982 0.000
2.151 1.323 8.583
Na Ga Te
2 2 4
direct
0.181 0.234 0.150 Na
0.819 0.766 0.850 Na
0.411 0.369 0.681 Ga
0.589 0.631 0.319 Ga
0.175 0.766 0.145 Te
0.446 0.749 0.596 Te
0.554 0.251 0.404 Te
0.825 0.234 0.855 Te
```

## Properties
Formation energy (no corrections) in eV per atom: -0.5582
Volume in Å³ per cell: 259
Density of states at the Fermi level in states/eV per cell: 0.0
Calculated total energy in eV per atom: -3.22

***

Entry 3:
The following is a PBE calculation of an optimized crystal structure of Pm2Al2Au3, from Alexandria.

Geometry as POSCAR:
```
Pm2Al2Au3
1.0
11.001 0.000 0.000
0.000 4.179 0.000
-3.263 0.000 6.538
Pm Al Au
4 4 6
direct
0.137 0.000 0.267 Pm
0.363 0.500 0.733 Pm
0.637 0.500 0.267 Pm
0.863 0.000 0.733 Pm
0.145 0.000 0.715 Al
0.355 0.500 0.285 Al
0.645 0.500 0.715 Al
0.855 0.000 0.285 Al
0.000 0.500 0.500 Au
0.121 0.500 0.940 Au
0.379 0.000 0.060 Au
0.500 0.000 0.500 Au
0.621 0.000 0.940 Au
0.879 0.500 0.060 Au
```

## Properties
Relative energy among the computed polymorphs in eV/atom: 0.0437
Volume in Å³ per cell: 301
Density of states at the Fermi level in states/eV per cell: 7.0
Calculated total energy in eV per atom: -4.52
E_form in eV per atom: -0.6909

***

Entry 4:
The following is a PBE calculation of an optimized crystal structure of Ce5Pu2Th4, from Alexandria.

Geometry as POSCAR:
```
Ce5Pu2Th4
1.0
3.390 0.000 0.000
1.695 8.715 0.000
1.692 3.124 10.205
Ce Pu Th
5 2 4
direct
0.000 0.000 0.000 Ce
0.150 0.607 0.093 Ce
0.395 0.589 0.622 Ce
0.605 0.411 0.378 Ce
0.850 0.393 0.907 Ce
0.286 0.905 0.523 Pu
0.714 0.095 0.477 Pu
0.053 0.196 0.693 Th
0.305 0.196 0.197 Th
0.695 0.804 0.803 Th
0.947 0.804 0.307 Th
```

## Properties
Volume in Å³ per cell: 302
Density of states at the Fermi level in states/eV per cell: 25.4
Calculated total energy in eV per atom: -7.88
E_form in eV per atom: 0.1168

***

Entry 5:
The following is a PBE calculation of an optimized crystal structure of La4CeTm3, from Alexandria.

Geometry as POSCAR:
```
La4CeTm3
1.0
23.908 0.000 0.000
0.000 3.420 0.000
-1.970 0.000 6.616
La Ce Tm
8 2 6
direct
0.120 0.000 0.360 La
0.242 0.500 0.231 La
0.258 0.000 0.769 La
0.380 0.500 0.640 La
0.620 0.500 0.360 La
0.742 0.000 0.231 La
0.758 0.500 0.769 La
0.880 0.000 0.640 La
0.000 0.500 0.000 Ce
0.500 0.000 0.000 Ce
0.000 0.000 0.500 Tm
0.121 0.000 0.879 Tm
0.379 0.500 0.121 Tm
0.500 0.500 0.500 Tm
0.621 0.500 0.879 Tm
0.879 0.000 0.121 Tm
```

## Properties
Volume in Å³ per cell: 541
Density of states at the Fermi level in states/eV per cell: 32.4
Calculated total energy in eV per atom: -4.69
E_form in eV per atom: 0.1886

***

Entry 6:
The following is a PBE calculation of an optimized crystal structure of SrGaRu3, from Alexandria.

Geometry as POSCAR:
```
SrGaRu3
1.0
4.947 0.000 0.000
0.000 4.947 0.000
0.000 0.000 4.947
Sr Ga Ru
1 1 3
direct
0.000 0.000 0.000 Sr
0.500 0.500 0.500 Ga
0.000 0.000 0.500 Ru
0.000 0.500 0.000 Ru
0.500 0.000 0.000 Ru
```

## Properties
Relative energy among the computed polymorphs in eV/atom: 1.6169
Volume in Å³ per cell: 121
Density of states at the Fermi level in states/eV per cell: 4.4
Calculated total energy in eV per atom: -4.05
E_form in eV per atom: 2.4588

***

Entry 7:
The following is a PBE calculation of an optimized crystal structure of LaTb2Tm8, from Alexandria.

Geometry as POSCAR:
```
LaTb2Tm8
1.0
-2.713 4.026 7.977
2.713 -4.026 7.977
2.713 4.026 -7.977
La Tb Tm
1 2 8
direct
0.000 0.000 0.000 La
0.301 0.301 0.000 Tb
0.699 0.699 0.000 Tb
0.151 0.858 0.293 Tm
0.163 0.663 0.500 Tm
0.295 0.500 0.795 Tm
0.435 0.142 0.293 Tm
0.565 0.858 0.707 Tm
0.705 0.500 0.205 Tm
0.837 0.337 0.500 Tm
0.849 0.142 0.707 Tm
```

## Properties
Relative energy among the computed polymorphs in eV/atom: 0.0905
Volume in Å³ per cell: 348
Density of states at the Fermi level in states/eV per cell: 15.2
Calculated total energy in eV per atom: -4.42
E_form in eV per atom: 0.1219

***

Entry 8:
The following is a PBE calculation of an optimized crystal structure of Hf2NiPtN, from Alexandria.

Geometry as POSCAR:
```
Hf2NiPtN
1.0
4.400 0.000 0.000
0.000 4.400 0.000
0.000 0.000 3.795
Hf Ni Pt N
2 1 1 1
direct
0.000 0.500 0.000 Hf
0.500 0.000 0.000 Hf
0.000 0.000 0.500 Ni
0.500 0.500 0.500 Pt
0.000 0.000 0.000 N
```

## Properties
Formation energy (no corrections) in eV per atom: -1.0391
Volume in Å³ per cell: 73
Density of states at the Fermi level in states/eV per cell: 4.0
Calculated total energy in eV per atom: -9.05

***

Entry 9:
The following is a PBE calculation of an optimized crystal structure of Mg7Pt2Rh2, from Alexandria.

Geometry as POSCAR:
```
Mg7Pt2Rh2
1.0
2.998 -4.796 0.000
2.998 4.796 0.000
0.000 0.000 7.195
Mg Pt Rh
7 2 2
direct
0.000 0.000 0.000 Mg
0.000 0.500 0.307 Mg
0.000 0.500 0.693 Mg
0.500 0.000 0.307 Mg
0.500 0.000 0.693 Mg
0.500 0.500 0.219 Mg
0.500 0.500 0.781 Mg
0.274 0.726 0.000 Pt
0.726 0.274 0.000 Pt
0.208 0.208 0.500 Rh
0.792 0.792 0.500 Rh
```

## Properties
Volume in Å³ per cell: 207
Density of states at the Fermi level in states/eV per cell: 6.1
Calculated total energy in eV per atom: -3.78
E_form in eV per atom: -0.3261

***

Entry 10:
The following is a PBE calculation of an optimized crystal structure of Nd4Er3PuSe8, from Alexandria.

Geometry as POSCAR:
```
Nd4Er3PuSe8
1.0
4.122 2.380 6.856
-4.122 2.380 6.856
0.000 -4.760 6.856
Nd Er Pu Se
4 3 1 8
direct
0.000 0.000 0.000 Nd
0.000 0.500 0.500 Nd
0.500 0.000 0.500 Nd
0.500 0.500 0.000 Nd
0.000 0.000 0.500 Er
0.000 0.500 0.000 Er
0.500 0.000 0.000 Er
0.500 0.500 0.500 Pu
0.241 0.747 0.747 Se
0.244 0.244 0.244 Se
0.253 0.253 0.759 Se
0.253 0.759 0.253 Se
0.747 0.241 0.747 Se
0.747 0.747 0.241 Se
0.756 0.756 0.756 Se
0.759 0.253 0.253 Se
```

## Properties
Formation energy (no corrections) in eV per atom: -1.7590
Volume in Å³ per cell: 404
Density of states at the Fermi level in states/eV per cell: 14.4
Calculated total energy in eV per atom: -6.44

***

Entry 11:
The following is a PBE calculation of an optimized crystal structure of RbCaB2, from Alexandria.

Geometry as POSCAR:
```
RbCaB2
1.0
7.046 0.000 0.000
0.000 7.046 0.000
0.000 0.000 7.046
Rb Ca B
4 4 8
direct
0.000 0.000 0.000 Rb
0.000 0.500 0.500 Rb
0.500 0.000 0.500 Rb
0.500 0.500 0.000 Rb
0.000 0.000 0.500 Ca
0.000 0.500 0.000 Ca
0.500 0.000 0.000 Ca
0.500 0.500 0.500 Ca
0.250 0.250 0.250 B
0.250 0.250 0.750 B
0.250 0.750 0.250 B
0.250 0.750 0.750 B
0.750 0.250 0.250 B
0.750 0.250 0.750 B
0.750 0.750 0.250 B
0.750 0.750 0.750 B
```

## Properties
Relative energy among the computed polymorphs in eV/atom: 0.0000
Volume in Å³ per cell: 350
Density of states at the Fermi level in states/eV per cell: 16.9
Calculated total energy in eV per atom: -2.53
E_form in eV per atom: 1.5556

***

Entry 12:
The following is a PBE calculation of an optimized crystal structure of Zn3PtRh, from Alexandria.

Geometry as POSCAR:
```
Zn3PtRh
1.0
4.692 0.000 0.000
0.000 4.692 0.000
0.000 0.000 4.692
Zn Pt Rh
3 1 1
direct
0.000 0.000 0.500 Zn
0.000 0.500 0.000 Zn
0.500 0.000 0.000 Zn
0.000 0.000 0.000 Pt
0.500 0.500 0.500 Rh
```

## Properties
Relative energy among the computed polymorphs in eV/atom: 0.7150
Volume in Å³ per cell: 103
Density of states at the Fermi level in states/eV per cell: 2.8
Calculated total energy in eV per atom: -3.01
E_form in eV per atom: 0.4356

***

- What is the formula in the fifth record?
  La4CeTm3

***

- What is the calculated total energy in the tenth record?
  -6.44 eV per atom